The following is a DFT calculation (PBE) of Na3Ac3PbO8 after structural relaxation.

Structure (CIF):
```
data_Na3Ac3PbO8
_cell_length_a 7.4812
_cell_length_b 7.4812
_cell_length_c 16.7780
_cell_angle_alpha 90.00
_cell_angle_beta 90.00
_cell_angle_gamma 120.00
_space_group_name_H-M_alt 'R -3 m'
_space_group_IT_number 166
_space_group_name_Hall '-R 3 2"'
loop_
_atom_site_label
_atom_site_fract_x
_atom_site_fract_y
_atom_site_fract_z
Na1 0.0000 0.5000 0.0000
Ac1 0.0000 0.5000 0.5000
Pb1 0.0000 0.0000 0.5000
O1 0.0000 0.0000 0.2377
O2 0.0340 0.5170 0.2379
```

Properties
Calculated volume (Å³/atom): 18.1
M_tot (μB per atom): 0.0000
Formation energy from raw total energies (eV/atom): -2.208
Electronic total energy (eV/atom): -6.19



The following is a DFT calculation (PBE) of NaAc3Pd2O9 after structural relaxation.

Structure (CIF):
```
data_NaAc3Pd2O9
_cell_length_a 5.7594
_cell_length_b 5.7594
_cell_length_c 7.0644
_cell_angle_alpha 90.00
_cell_angle_beta 90.00
_cell_angle_gamma 120.00
_space_group_name_H-M_alt 'P -3 m 1'
_space_group_IT_number 164
_space_group_name_Hall '-P 3 2"'
loop_
_atom_site_label
_atom_site_fract_x
_atom_site_fract_y
_atom_site_fract_z
Na1 0.0000 0.0000 0.0000
Ac1 0.0000 0.0000 0.5000
Ac2 0.3333 0.6667 0.1605
Pd1 0.3333 0.6667 0.6663
O1 0.0000 0.5000 0.5000
O2 0.1741 0.3482 0.8262
```

Properties
Calculated volume (Å³/atom): 13.5
M_tot (μB per atom): 0.0000
Formation energy from raw total energies (eV/atom): -1.975
Electronic total energy (eV/atom): -6.55



The following is a DFT calculation (PBE) of Na2AcPdO4 after structural relaxation.

Structure (CIF):
```
data_Na2AcPdO4
_cell_length_a 3.644
_cell_length_b 12.163
_cell_length_c 11.114
_cell_angle_alpha 90.00
_cell_angle_beta 90.00
_cell_angle_gamma 90.00
_space_group_name_H-M_alt 'C m c m'
_space_group_IT_number 63
_space_group_name_Hall '-C 2c 2'
loop_
_atom_site_label
_atom_site_fract_x
_atom_site_fract_y
_atom_site_fract_z
Na1 0.000 0.117 0.042
Ac1 0.000 0.415 0.250
Pd1 0.000 0.322 0.750
O1 0.000 0.070 0.250
O2 0.000 0.196 0.637
O3 0.000 0.500 0.000
```

Properties
Calculated volume (Å³/atom): 15.4
M_tot (μB per atom): 0.0114
Formation energy from raw total energies (eV/atom): -1.436
Electronic total energy (eV/atom): -5.41



The following is a DFT calculation (PBE) of NaAc2PdO6 after structural relaxation.

Structure (CIF):
```
data_NaAc2PdO6
_cell_length_a 5.751
_cell_length_b 6.106
_cell_length_c 10.017
_cell_angle_alpha 90.00
_cell_angle_beta 124.90
_cell_angle_gamma 90.00
_space_group_name_H-M_alt 'P 1 21/c 1'
_space_group_IT_number 14
loop_
_space_group_symop_operation_xyz
'x,y,z'
'-x,-y,-z'
'-x,y+1/2,-z+1/2'
'x,-y+1/2,z+1/2'
loop_
_atom_site_label
_atom_site_fract_x
_atom_site_fract_y
_atom_site_fract_z
Na1 0.000 0.000 0.000
Ac1 0.235 0.066 0.749
Pd1 0.500 0.000 0.500
O1 0.165 0.178 0.455
O2 0.276 0.719 0.449
O3 0.358 0.034 0.265
```

Properties
Calculated volume (Å³/atom): 14.4
M_tot (μB per atom): 0.0888
Formation energy from raw total energies (eV/atom): -2.072
Electronic total energy (eV/atom): -6.52



The following is a DFT calculation (PBE) of Na3Ac3PdO8 after structural relaxation.

Structure (CIF):
```
data_Na3Ac3PdO8
_cell_length_a 7.3200
_cell_length_b 7.3200
_cell_length_c 16.7061
_cell_angle_alpha 90.00
_cell_angle_beta 90.00
_cell_angle_gamma 120.00
_space_group_name_H-M_alt 'R -3 m'
_space_group_IT_number 166
_space_group_name_Hall '-R 3 2"'
loop_
_atom_site_label
_atom_site_fract_x
_atom_site_fract_y
_atom_site_fract_z
Na1 0.0000 0.5000 0.0000
Ac1 0.0000 0.5000 0.5000
Pd1 0.0000 0.0000 0.5000
O1 0.0000 0.0000 0.2412
O2 0.0478 0.5239 0.2350
```

Properties
Calculated volume (Å³/atom): 17.2
M_tot (μB per atom): 0.0000
Formation energy from raw total energies (eV/atom): -2.081
Electronic total energy (eV/atom): -6.16



The following is a DFT calculation (PBE) of NaAc2PdO4 after structural relaxation.

Structure (CIF):
```
data_NaAc2PdO4
_cell_length_a 7.447
_cell_length_b 9.670
_cell_length_c 7.447
_cell_angle_alpha 90.00
_cell_angle_beta 90.00
_cell_angle_gamma 90.00
_space_group_name_H-M_alt 'F m m 2'
_space_group_IT_number 42
_space_group_name_Hall 'F 2 -2'
loop_
_atom_site_label
_atom_site_fract_x
_atom_site_fract_y
_atom_site_fract_z
Na1 0.000 0.000 0.000
Ac1 0.250 0.250 0.250
Pd1 0.000 0.000 0.500
O1 0.000 0.247 0.000
O2 0.250 0.000 0.248
```

Properties
Calculated volume (Å³/atom): 16.8
M_tot (μB per atom): 0.0896
Formation energy from raw total energies (eV/atom): -2.126
Electronic total energy (eV/atom): -6.45



The following is a DFT calculation (PBE) of Na3Ac2PdO6 after structural relaxation.

Structure (CIF):
```
data_Na3Ac2PdO6
_cell_length_a 6.161
_cell_length_b 10.793
_cell_length_c 5.979
_cell_angle_alpha 90.00
_cell_angle_beta 108.15
_cell_angle_gamma 90.00
_space_group_name_H-M_alt 'C 1 2/m 1'
_space_group_IT_number 12
loop_
_space_group_symop_operation_xyz
'x,y,z'
'-x,-y,-z'
'-x,y,-z'
'x,-y,z'
'x+1/2,y+1/2,z'
'-x+1/2,-y+1/2,-z'
'-x+1/2,y+1/2,-z'
'x+1/2,-y+1/2,z'
loop_
_atom_site_label
_atom_site_fract_x
_atom_site_fract_y
_atom_site_fract_z
Na1 0.000 0.000 0.000
Na2 0.000 0.359 0.000
Ac1 0.000 0.171 0.500
Pd1 0.000 0.500 0.500
O1 0.225 0.500 0.297
O2 0.232 0.346 0.735
```

Properties
Calculated volume (Å³/atom): 15.7
M_tot (μB per atom): 0.0843
Formation energy from raw total energies (eV/atom): -1.894
Electronic total energy (eV/atom): -5.82



The following is a DFT calculation (PBE) of Na3AcPm2O6 after structural relaxation.

Structure (CIF):
```
data_Na3AcPm2O6
_cell_length_a 15.658
_cell_length_b 3.619
_cell_length_c 7.006
_cell_angle_alpha 90.00
_cell_angle_beta 100.23
_cell_angle_gamma 90.00
_space_group_name_H-M_alt 'C 1 2/m 1'
_space_group_IT_number 12
loop_
_space_group_symop_operation_xyz
'x,y,z'
'-x,-y,-z'
'-x,y,-z'
'x,-y,z'
'x+1/2,y+1/2,z'
'-x+1/2,-y+1/2,-z'
'-x+1/2,y+1/2,-z'
'x+1/2,-y+1/2,z'
loop_
_atom_site_label
_atom_site_fract_x
_atom_site_fract_y
_atom_site_fract_z
Na1 0.000 0.000 0.000
Na2 0.176 0.500 0.341
Ac1 0.000 0.000 0.500
Pm1 0.168 0.500 0.843
O1 0.013 0.500 0.749
O2 0.163 0.000 0.613
O3 0.178 0.000 0.070
```

Properties
Calculated volume (Å³/atom): 16.3
M_tot (μB per atom): 0.0000
Formation energy from raw total energies (eV/atom): -2.600
Electronic total energy (eV/atom): -6.54



The following is a DFT calculation (PBE) of Na2AcPmO4 after structural relaxation.

Structure (CIF):
```
data_Na2AcPmO4
_cell_length_a 6.065
_cell_length_b 3.676
_cell_length_c 6.410
_cell_angle_alpha 90.00
_cell_angle_beta 110.92
_cell_angle_gamma 90.00
_space_group_name_H-M_alt 'P 1 2/m 1'
_space_group_IT_number 10
loop_
_space_group_symop_operation_xyz
'x,y,z'
'-x,-y,-z'
'-x,y,-z'
'x,-y,z'
loop_
_atom_site_label
_atom_site_fract_x
_atom_site_fract_y
_atom_site_fract_z
Na1 0.000 0.000 0.000
Na2 0.000 0.500 0.500
Ac1 0.500 0.000 0.500
Pm1 0.500 0.500 0.000
O1 0.282 0.500 0.245
O2 0.284 0.000 0.771
```

Properties
Calculated volume (Å³/atom): 16.7
M_tot (μB per atom): 0.0000
Formation energy from raw total energies (eV/atom): -2.572
Electronic total energy (eV/atom): -6.49



The following is a DFT calculation (PBE) of Na3Ac2PrO6 after structural relaxation.

Structure (CIF):
```
data_Na3Ac2PrO6
_cell_length_a 15.204
_cell_length_b 3.749
_cell_length_c 6.665
_cell_angle_alpha 90.00
_cell_angle_beta 90.32
_cell_angle_gamma 90.00
_space_group_name_H-M_alt 'C 1 2/m 1'
_space_group_IT_number 12
loop_
_space_group_symop_operation_xyz
'x,y,z'
'-x,-y,-z'
'-x,y,-z'
'x,-y,z'
'x+1/2,y+1/2,z'
'-x+1/2,-y+1/2,-z'
'-x+1/2,y+1/2,-z'
'x+1/2,-y+1/2,z'
loop_
_atom_site_label
_atom_site_fract_x
_atom_site_fract_y
_atom_site_fract_z
Na1 0.000 0.000 0.000
Na2 0.127 0.500 0.220
Ac1 0.192 0.500 0.752
Pr1 0.000 0.000 0.500
O1 0.021 0.500 0.729
O2 0.161 0.000 0.486
O3 0.168 0.000 0.999
```

Properties
Calculated volume (Å³/atom): 15.8
M_tot (μB per atom): 0.0000
Formation energy from raw total energies (eV/atom): -2.540
Electronic total energy (eV/atom): -6.43



The following is a DFT calculation (PBE) of Na2AcPtO4 after structural relaxation.

Structure (CIF):
```
data_Na2AcPtO4
_cell_length_a 5.865
_cell_length_b 6.520
_cell_length_c 6.836
_cell_angle_alpha 90.00
_cell_angle_beta 90.00
_cell_angle_gamma 90.00
_space_group_name_H-M_alt 'I 2 2 2'
_space_group_IT_number 23
loop_
_space_group_symop_operation_xyz
'x,y,z'
'-x,-y,z'
'x,-y,-z'
'-x,y,-z'
'x+1/2,y+1/2,z+1/2'
'-x+1/2,-y+1/2,z+1/2'
'x+1/2,-y+1/2,-z+1/2'
'-x+1/2,y+1/2,-z+1/2'
loop_
_atom_site_label
_atom_site_fract_x
_atom_site_fract_y
_atom_site_fract_z
Na1 0.000 0.000 0.225
Ac1 0.000 0.500 0.000
Pt1 0.000 0.500 0.500
O1 0.133 0.310 0.712
```

Properties
Calculated volume (Å³/atom): 16.3
M_tot (μB per atom): 0.1305
Formation energy from raw total energies (eV/atom): -1.376
Electronic total energy (eV/atom): -5.45



The following is a DFT calculation (PBE) of Na3Ac3PtO8 after structural relaxation.

Structure (CIF):
```
data_Na3Ac3PtO8
_cell_length_a 7.3202
_cell_length_b 7.3202
_cell_length_c 16.7227
_cell_angle_alpha 90.00
_cell_angle_beta 90.00
_cell_angle_gamma 120.00
_space_group_name_H-M_alt 'R -3 m'
_space_group_IT_number 166
_space_group_name_Hall '-R 3 2"'
loop_
_atom_site_label
_atom_site_fract_x
_atom_site_fract_y
_atom_site_fract_z
Na1 0.0000 0.5000 0.0000
Ac1 0.0000 0.5000 0.5000
Pt1 0.0000 0.0000 0.5000
O1 0.0000 0.0000 0.2409
O2 0.0485 0.5243 0.2352
```

Properties
Calculated volume (Å³/atom): 17.2
M_tot (μB per atom): 0.0000
Formation energy from raw total energies (eV/atom): -2.112
Electronic total energy (eV/atom): -6.24